A relaxed HfTe2Ir crystal, computed with GGA-PBE.

Lattice parameters (Å, degrees): 7.713 7.713 7.713 133.44 133.44 67.96
Sites, in units of the cell vectors:
Hf (0.000, 0.000, 0.000)
Hf (0.750, 0.250, 0.500)
Te (0.154, 0.625, 0.029)
Te (0.375, 0.404, 0.529)
Te (0.596, 0.125, 0.971)
Te (0.875, 0.846, 0.471)
Ir (0.250, 0.750, 0.500)
Ir (0.500, 0.500, 0.000)

energy above the lowest structure with this stoichiometry = 0.097 eV/atom
energy relative to the elements, uncorrected = 138 meV/atom
E = -6.136 eV/atom
Fermi-level density of states = 5.75 states/eV per cell

A relaxed RbCaLa2Ru crystal, computed with GGA-PBE.

Lattice parameters (Å, degrees): 5.551 5.551 6.196 90.00 90.00 90.00
Sites, in units of the cell vectors:
Rb (0.000, 0.000, 0.000)
Ca (0.500, 0.500, 0.000)
La (0.000, 0.500, 0.500)
La (0.500, 0.000, 0.500)
Ru (0.500, 0.500, 0.500)

E = -4.402 eV/atom
Fermi-level density of states = 4.06 states/eV per cell
DFT formation energy = 18 meV per atom

A relaxed ThSc2Tl crystal, computed with GGA-PBE.

Lattice parameters (Å, degrees): 5.228 5.228 5.228 60.00 60.00 60.00
Sites, in units of the cell vectors:
Th (0.000, 0.000, 0.000)
Sc (0.250, 0.250, 0.250)
Sc (0.750, 0.750, 0.750)
Tl (0.500, 0.500, 0.500)

energy above the lowest structure with this stoichiometry = 0.199 eV/atom
E = -5.582 eV/atom
Fermi-level density of states = 7.62 states/eV per cell
DFT formation energy = 30 meV per atom

A relaxed SrP2Br crystal, computed with GGA-PBE.

Lattice parameters (Å, degrees): 13.430 13.430 13.430 162.43 162.43 24.94
Sites, in units of the cell vectors:
Sr (0.000, 0.000, 0.000)
Sr (0.750, 0.250, 0.500)
P (0.231, 0.625, 0.106)
P (0.375, 0.481, 0.606)
P (0.519, 0.125, 0.894)
P (0.875, 0.769, 0.394)
Br (0.250, 0.750, 0.500)
Br (0.500, 0.500, 0.000)

energy above the lowest structure with this stoichiometry = 0.357 eV/atom
energy relative to the elements, uncorrected = -470 meV/atom
E = -4.014 eV/atom
Fermi-level density of states = 3.18 states/eV per cell